Computed, not measured: an optimized crystal structure of MgMn2Os at the PBEsol level of DFT.

Output
Space group   P4/mmm
E_form   1.18 eV per formula unit
Uncorrected energy   -8.068 eV/atom

a b c (Å): 2.749 2.749 7.283
angles (deg): 90.00 90.00 90.04
Sites, in units of the cell vectors:
Mn 0.000 0.000 0.723
Mn 0.000 0.000 0.277
Mg 0.500 0.500 0.000
Os 0.500 0.500 0.500

***

Computed, not measured: an optimized crystal structure of MgMnOs3 at the PBEsol level of DFT.

Output
Space group   Pm-3m
E_form   7.29 eV per formula unit
Uncorrected energy   -8.168 eV/atom

a b c (Å): 4.401 4.401 4.401
angles (deg): 90.00 90.00 90.00
Sites, in units of the cell vectors:
Os 0.000 0.500 0.000
Os 0.500 0.000 0.000
Os 0.000 0.000 0.500
Mg 0.500 0.500 0.500
Mn 0.000 0.000 0.000

***

Computed, not measured: an optimized crystal structure of MgMn2Os at the PBEsol level of DFT.

Output
Space group   P4/mmm
E_form   1.31 eV per formula unit
Uncorrected energy   -8.037 eV/atom

a b c (Å): 2.872 4.385 4.385
angles (deg): 90.00 90.00 90.00
Sites, in units of the cell vectors:
Mg 0.500 0.000 0.000
Mn 0.000 0.500 0.000
Mn 0.000 0.000 0.500
Os 0.500 0.500 0.500

***

Computed, not measured: an optimized crystal structure of Mg2MnPb at the PBEsol level of DFT.

Output
Space group   Pmm2
E_form   0.97 eV per formula unit
Uncorrected energy   -4.055 eV/atom

a b c (Å): 3.267 4.061 6.203
angles (deg): 90.00 89.99 90.00
Sites, in units of the cell vectors:
Pb 0.500 0.500 0.733
Mg 0.000 0.000 0.011
Mg 0.500 0.500 0.266
Mn 0.000 0.000 0.491

***

Computed, not measured: an optimized crystal structure of MgMnPb at the PBEsol level of DFT.

Output
Space group   F-43m
E_form   1.07 eV per formula unit
Uncorrected energy   -4.802 eV/atom

a b c (Å): 4.571 4.571 4.571
angles (deg): 60.00 60.00 60.00
Sites, in units of the cell vectors:
Mg 0.500 0.500 0.500
Pb 0.000 0.000 0.000
Mn 0.250 0.250 0.250

***

Computed, not measured: an optimized crystal structure of MgMnPb2S at the PBEsol level of DFT.

Output
ΔE_f (raw)   10.2 kcal/mol of atoms
Space group   P4/mmm
Uncorrected energy   -4.329 eV/atom

a b c (Å): 4.586 5.535 5.535
angles (deg): 90.00 90.00 90.00
Sites, in units of the cell vectors:
Pb 0.000 0.500 0.000
Pb 0.000 0.000 0.500
S 0.000 0.000 0.000
Mn 0.500 0.500 0.500
Mg 0.500 0.000 0.000

***

Computed, not measured: an optimized crystal structure of Mg2ScMnPb at the PBEsol level of DFT.

Output
Space group   P4/mmm
E_form   2.00 eV per formula unit
Uncorrected energy   -4.359 eV/atom

a b c (Å): 4.586 5.040 5.040
angles (deg): 90.00 90.00 90.00
Sites, in units of the cell vectors:
Mg 0.000 0.500 0.000
Mg 0.000 0.000 0.500
Sc 0.500 0.000 0.000
Pb 0.500 0.500 0.500
Mn 0.000 0.000 0.000

***

Computed, not measured: an optimized crystal structure of MgMnPd3 at the PBEsol level of DFT.

Output
Space group   Pm-3m
E_form   2.46 eV per formula unit
Uncorrected energy   -5.379 eV/atom

a b c (Å): 4.590 4.590 4.590
angles (deg): 90.00 90.00 90.00
Sites, in units of the cell vectors:
Pd 0.000 0.000 0.500
Pd 0.000 0.500 0.000
Pd 0.500 0.000 0.000
Mg 0.500 0.500 0.500
Mn 0.000 0.000 0.000

***

Computed, not measured: an optimized crystal structure of MgMnPt2 at the PBEsol level of DFT.

Output
Space group   Cmmm
E_form   -2.07 eV per formula unit
Uncorrected energy   -6.868 eV/atom

a b c (Å): 2.899 4.551 4.551
angles (deg): 101.32 90.00 90.00
Sites, in units of the cell vectors:
Mg 0.500 0.000 0.000
Pt 0.000 0.000 0.500
Pt 0.000 0.500 0.000
Mn 0.500 0.500 0.500

***

Computed, not measured: an optimized crystal structure of MgMnPt2 at the PBEsol level of DFT.

Output
Space group   I-4m2
E_form   -1.67 eV per formula unit
Uncorrected energy   -6.769 eV/atom

a b c (Å): 3.804 3.804 4.927
angles (deg): 112.71 112.71 90.00
Sites, in units of the cell vectors:
Pt 0.000 0.000 0.000
Pt 0.250 0.750 0.500
Mn 0.750 0.250 0.500
Mg 0.500 0.500 0.000

***

Computed, not measured: an optimized crystal structure of Mg3MnPt at the PBEsol level of DFT.

Output
Space group   Pm-3m
E_form   1.40 eV per formula unit
Uncorrected energy   -4.095 eV/atom

a b c (Å): 4.929 4.929 4.929
angles (deg): 90.00 90.00 90.00
Sites, in units of the cell vectors:
Mn 0.500 0.500 0.500
Pt 0.000 0.000 0.000
Mg 0.000 0.500 0.000
Mg 0.500 0.000 0.000
Mg 0.000 0.000 0.500

***

Computed, not measured: an optimized crystal structure of MgMnPt2 at the PBEsol level of DFT.

Output
Space group   P4mm
E_form   -0.67 eV per formula unit
Uncorrected energy   -6.519 eV/atom

a b c (Å): 2.807 2.807 7.851
angles (deg): 90.00 90.00 90.00
Sites, in units of the cell vectors:
Mn 0.500 0.500 0.773
Pt 0.000 0.000 0.991
Pt 0.500 0.500 0.252
Mg 0.000 0.000 0.484